Entry 1:
NaSeF4 | PBE-GGA | optimized geometry

Computed properties:
**Magnetization**: 1.00 μB per formula unit
**Calculated total energy**: -3.915 eV/atom
**Energy above the lowest structure with this stoichiometry**: 0.010 eV per atom
**Crystal system**: tetragonal

Lattice parameters (Å, degrees): 6.1475 6.1475 5.1999 126.24 126.24 90.00
Closest atoms and distances in Å follow each position.
Sites, in units of the cell vectors:
Na1 0.7500 0.2500 0.5000  4 F 2.30
Se1 0.5000 0.5000 0.0000  4 F 1.93
F1 0.2343 0.6697 0.9857  1 Se 1.93
F2 0.7514 0.3160 0.9857  1 Se 1.93
F3 0.3303 0.2486 0.0143  1 Se 1.93
F4 0.6840 0.7657 0.0143  1 Se 1.93

---

Entry 2:
NaSeF2 | PBE-GGA | optimized geometry

Computed properties:
**Magnetization**: 0.00 μB per formula unit
**Calculated total energy**: -3.861 eV/atom
**Energy above the lowest structure with this stoichiometry**: 0.000 eV per atom
**Crystal system**: trigonal

Lattice parameters (Å, degrees): 6.7683 6.7683 6.7683 28.99 28.99 28.99
Closest atoms and distances in Å follow each position.
Sites, in units of the cell vectors:
Na1 0.5000 0.5000 0.5000  6 F 2.30
Se1 0.0000 0.0000 0.0000  2 F 2.03
F1 0.8955 0.8955 0.8955  1 Se 2.03
F2 0.1045 0.1045 0.1045  1 Se 2.03

---

Entry 3:
NaSeF3 | PBE-GGA | optimized geometry

Computed properties:
**Magnetization**: 0.00 μB per formula unit
**Calculated total energy**: -3.507 eV/atom
**Energy above the lowest structure with this stoichiometry**: 0.422 eV per atom
**Crystal system**: cubic

Lattice parameters (Å, degrees): 4.4569 4.4569 4.4569 90.00 90.00 90.00
Closest atoms and distances in Å follow each position.
Sites, in units of the cell vectors:
Na1 0.5000 0.5000 0.5000  12 F 3.15
Se1 0.0000 0.0000 0.0000  6 F 2.23
F1 0.0000 0.5000 0.0000  2 Se 2.23
F2 0.0000 0.0000 0.5000  2 Se 2.23
F3 0.5000 0.0000 0.0000  2 Se 2.23

---

Entry 4:
NaSeF2 | PBE-GGA | optimized geometry

Computed properties:
**Magnetization**: 0.00 μB per formula unit
**Calculated total energy**: -3.344 eV/atom
**Energy above the lowest structure with this stoichiometry**: 0.517 eV per atom
**Crystal system**: tetragonal

Lattice parameters (Å, degrees): 6.2384 6.2384 5.4422 55.03 55.03 90.00
Closest atoms and distances in Å follow each position.
Sites, in units of the cell vectors:
Na1 0.5000 0.5000 0.0000  4 F 2.29
Na2 0.2500 0.7500 0.5000  4 F 2.29
Se1 0.0000 0.0000 0.0000  4 F 2.41
Se2 0.7500 0.2500 0.5000  4 F 2.41
F1 0.6106 0.1250 0.2500  2 Na 2.29, 2 Se 2.41
F2 0.1394 0.6250 0.2500  2 Na 2.29, 2 Se 2.41
F3 0.3750 0.3894 0.7500  2 Na 2.29, 2 Se 2.41
F4 0.8750 0.8606 0.7500  2 Na 2.29, 2 Se 2.41

---

Entry 5:
Na2SeF | PBE-GGA | optimized geometry

Computed properties:
**Magnetization**: 1.00 μB per formula unit
**Calculated total energy**: -3.212 eV/atom
**Energy above the lowest structure with this stoichiometry**: 0.412 eV per atom
**Crystal system**: cubic

Lattice parameters (Å, degrees): 4.8124 4.8124 4.8124 60.00 60.00 60.00
Closest atoms and distances in Å follow each position.
Sites, in units of the cell vectors:
Na1 0.2500 0.2500 0.2500  4 F 2.95, 4 Se 2.95
Na2 0.7500 0.7500 0.7500  4 Se 2.95, 4 F 2.95
Se1 0.5000 0.5000 0.5000  8 Na 2.95
F1 0.0000 0.0000 0.0000  8 Na 2.95

---

Entry 6:
Na4SeF | PBE-GGA | optimized geometry

Computed properties:
**Magnetization**: 0.34 μB per formula unit
**Calculated total energy**: -3.036 eV/atom
**Crystal system**: monoclinic

Lattice parameters (Å, degrees): 4.7327 4.7264 6.6890 79.72 79.68 86.61
Closest atoms and distances in Å follow each position.
Sites, in units of the cell vectors:
Na1 0.3957 0.9235 0.2579  1 F 2.49
Na2 0.5538 0.0478 0.7131  2 F 2.55-2.57
Na3 0.0516 0.5495 0.7134  2 F 2.54-2.57
Na4 0.9276 0.3918 0.2572  1 F 2.49
Se1 0.4868 0.4830 0.9849  8 Na 2.94-2.97
F1 0.0922 0.0882 0.5623  6 Na 2.49-2.57

---

Sequential energy relative to the elements, uncorrected output: -1081 -665 -687 -466 -468 -732 kJ/mol of formula units